Arrangement P

{"formula": "DyErTlCo", "functional": "PBE", "state": "optimized geometry", "dos_ef_per_ev_atom": 0.5625, "lattice": [[-4.351, 0.183, 2.619], [-2.687, -4.246, 0.763], [-0.257, -2.044, 4.646]], "species": ["Tl", "Dy", "Co", "Er"], "frac_coords": [[0.000, 0.000, 0.000], [0.250, 0.250, 0.250], [0.500, 0.500, 0.500], [0.750, 0.750, 0.750]]}


Arrangement Q

{"formula": "DyErTlCo", "functional": "PBE", "state": "optimized geometry", "dos_ef_per_ev_atom": 0.8629, "lattice": [[3.386, 0.000, 0.000], [0.000, 3.386, 0.000], [0.000, 0.000, 7.956]], "species": ["Dy", "Er", "Tl", "Co"], "frac_coords": [[0.500, 0.500, 0.775], [0.500, 0.500, 0.368], [0.000, 0.000, 0.074], [0.000, 0.000, 0.568]]}


So which one is most stable? That would be arrangement Q, about 12.6 kJ/mol of atoms below the next structure.


Arrangement P

{"formula": "Dy3GaCo", "functional": "PBE", "state": "optimized geometry", "dos_ef_per_ev_atom": 0.7366, "lattice": [[-0.593, -2.625, 5.215], [4.313, -3.698, 1.469], [5.137, 3.435, 5.746]], "species": ["Dy", "Dy", "Dy", "Dy", "Dy", "Dy", "Ga", "Ga", "Co", "Co"], "frac_coords": [[0.313, 0.313, 0.862], [0.687, 0.687, 0.138], [0.013, 0.013, 0.774], [0.987, 0.987, 0.226], [0.701, 0.701, 0.668], [0.299, 0.299, 0.332], [0.707, 0.293, 0.500], [0.293, 0.707, 0.500], [0.314, 0.686, 0.000], [0.686, 0.314, 0.000]]}


Arrangement Q

{"formula": "Dy3GaCo", "functional": "PBE", "state": "optimized geometry", "dos_ef_per_ev_atom": 1.2032, "lattice": [[-1.009, -0.689, -3.477], [2.503, -7.209, 2.655], [-7.795, -1.418, 2.549]], "species": ["Dy", "Dy", "Dy", "Dy", "Dy", "Dy", "Ga", "Ga", "Co", "Co"], "frac_coords": [[0.074, 0.182, 0.409], [0.418, 0.870, 0.659], [0.626, 0.284, 0.762], [0.970, 0.972, 0.012], [0.272, 0.577, 0.009], [0.772, 0.577, 0.413], [0.415, 0.863, 0.289], [0.629, 0.291, 0.133], [0.235, 0.502, 0.651], [0.809, 0.652, 0.770]]}


So which one is most stable? That would be arrangement P, about 2.2 kJ/mol of atoms below the next structure.


Arrangement P

{"formula": "NdDyGaCo", "functional": "PBE", "state": "optimized geometry", "dos_ef_per_ev_atom": 1.0340, "lattice": [[4.229, 0.000, 0.000], [0.000, 4.141, 0.000], [-2.114, 0.000, 5.198]], "species": ["Nd", "Dy", "Ga", "Co"], "frac_coords": [[0.148, 0.000, 0.297], [0.862, 0.500, 0.724], [0.560, 0.500, 0.121], [0.429, 0.000, 0.858]]}


Arrangement Q

{"formula": "NdDyGaCo", "functional": "PBE", "state": "optimized geometry", "dos_ef_per_ev_atom": 0.6972, "lattice": [[5.015, 0.000, 0.000], [2.508, 4.343, 0.000], [2.508, 1.448, 4.095]], "species": ["Co", "Nd", "Ga", "Dy"], "frac_coords": [[0.750, 0.750, 0.750], [0.500, 0.500, 0.500], [0.250, 0.250, 0.250], [0.000, 0.000, 0.000]]}


So which one is most stable? That would be arrangement P, about 7.6 kJ/mol of atoms below the next structure.